(1)
Here is Re2TeIr after structural relaxation from Alexandria via LeMat-Bulk. Energies are from PBE.

Values from the calculation:
- Formation energy without anion corrections: 0.67 eV/atom
- M_tot: 0.00 μB per cell
- Raw total energy: -34.2 eV per cell

CIF file:
```
data_Re2TeIr
_cell_length_a 4.636
_cell_length_b 4.636
_cell_length_c 3.022
_cell_angle_alpha 90.00
_cell_angle_beta 90.00
_cell_angle_gamma 89.95
_symmetry_space_group_name_H-M 'P 1'
_symmetry_Int_Tables_number 1
loop_
_symmetry_equiv_pos_as_xyz
'x,y,z'
loop_
_atom_site_label
_atom_site_type_symbol
_atom_site_fract_x
_atom_site_fract_y
_atom_site_fract_z
_atom_site_occupancy
Re1 Re 0.500 0.500 0.000 1
Re2 Re 0.000 0.000 0.000 1
Te1 Te 0.500 0.000 0.500 1
Ir1 Ir 0.000 0.500 0.500 1
```

---

(2)
Here is Re2TeIr after structural relaxation from Alexandria via LeMat-Bulk. Energies are from PBE.

Values from the calculation:
- Formation energy without anion corrections: 0.78 eV/atom
- M_tot: 0.00 μB per cell
- Raw total energy: -33.8 eV per cell

CIF file:
```
data_Re2TeIr
_cell_length_a 4.943
_cell_length_b 4.943
_cell_length_c 2.930
_cell_angle_alpha 90.04
_cell_angle_beta 90.04
_cell_angle_gamma 113.23
_symmetry_space_group_name_H-M 'P 1'
_symmetry_Int_Tables_number 1
loop_
_symmetry_equiv_pos_as_xyz
'x,y,z'
loop_
_atom_site_label
_atom_site_type_symbol
_atom_site_fract_x
_atom_site_fract_y
_atom_site_fract_z
_atom_site_occupancy
Re1 Re 0.500 0.500 0.000 1
Re2 Re 0.000 0.000 0.000 1
Te1 Te 0.500 0.000 0.500 1
Ir1 Ir 0.000 0.500 0.500 1
```

---

(3)
Here is ReTeIr2 after structural relaxation from Alexandria via LeMat-Bulk. Energies are from PBE.

Values from the calculation:
- Formation energy without anion corrections: 0.83 eV/atom
- M_tot: 0.00 μB per cell
- Raw total energy: -30.0 eV per cell

CIF file:
```
data_ReTeIr2
_cell_length_a 2.863
_cell_length_b 2.863
_cell_length_c 9.700
_cell_angle_alpha 90.00
_cell_angle_beta 90.00
_cell_angle_gamma 120.08
_symmetry_space_group_name_H-M 'P 1'
_symmetry_Int_Tables_number 1
loop_
_symmetry_equiv_pos_as_xyz
'x,y,z'
loop_
_atom_site_label
_atom_site_type_symbol
_atom_site_fract_x
_atom_site_fract_y
_atom_site_fract_z
_atom_site_occupancy
Re1 Re 0.000 0.000 0.477 1
Ir1 Ir 0.500 0.500 0.253 1
Ir2 Ir 0.000 0.000 0.012 1
Te1 Te 0.500 0.500 0.758 1
```

---

(4)
Here is Re2TeIr after structural relaxation from Alexandria via LeMat-Bulk. Energies are from PBE.

Values from the calculation:
- Formation energy without anion corrections: 0.67 eV/atom
- M_tot: 0.00 μB per cell
- Raw total energy: -34.2 eV per cell

CIF file:
```
data_Re2TeIr
_cell_length_a 4.871
_cell_length_b 4.871
_cell_length_c 4.871
_cell_angle_alpha 130.77
_cell_angle_beta 130.77
_cell_angle_gamma 72.17
_symmetry_space_group_name_H-M 'P 1'
_symmetry_Int_Tables_number 1
loop_
_symmetry_equiv_pos_as_xyz
'x,y,z'
loop_
_atom_site_label
_atom_site_type_symbol
_atom_site_fract_x
_atom_site_fract_y
_atom_site_fract_z
_atom_site_occupancy
Re1 Re 0.250 0.750 0.500 1
Re2 Re 0.000 0.000 0.000 1
Ir1 Ir 0.750 0.250 0.500 1
Te1 Te 0.500 0.500 0.000 1
```

---

(5)
Here is ReTeIr2 after structural relaxation from Alexandria via LeMat-Bulk. Energies are from PBE.

Values from the calculation:
- Formation energy without anion corrections: 0.41 eV/atom
- M_tot: 0.00 μB per cell
- Raw total energy: -31.7 eV per cell

CIF file:
```
data_ReTeIr2
_cell_length_a 3.903
_cell_length_b 2.914
_cell_length_c 6.544
_cell_angle_alpha 63.70
_cell_angle_beta 90.00
_cell_angle_gamma 90.00
_symmetry_space_group_name_H-M 'P 1'
_symmetry_Int_Tables_number 1
loop_
_symmetry_equiv_pos_as_xyz
'x,y,z'
loop_
_atom_site_label
_atom_site_type_symbol
_atom_site_fract_x
_atom_site_fract_y
_atom_site_fract_z
_atom_site_occupancy
Re1 Re 0.500 0.250 0.250 1
Ir1 Ir 0.000 0.971 0.028 1
Ir2 Ir 0.000 0.529 0.472 1
Te1 Te 0.500 0.750 0.750 1
```

---

(6)
Here is ReTeIr2 after structural relaxation from Alexandria via LeMat-Bulk. Energies are from PBE.

Values from the calculation:
- Formation energy without anion corrections: 0.57 eV/atom
- M_tot: 0.00 μB per cell
- Raw total energy: -31.0 eV per cell

CIF file:
```
data_ReTeIr2
_cell_length_a 4.752
_cell_length_b 4.752
_cell_length_c 4.752
_cell_angle_alpha 127.77
_cell_angle_beta 127.77
_cell_angle_gamma 77.00
_symmetry_space_group_name_H-M 'P 1'
_symmetry_Int_Tables_number 1
loop_
_symmetry_equiv_pos_as_xyz
'x,y,z'
loop_
_atom_site_label
_atom_site_type_symbol
_atom_site_fract_x
_atom_site_fract_y
_atom_site_fract_z
_atom_site_occupancy
Re1 Re 0.500 0.500 0.000 1
Te1 Te 0.750 0.250 0.500 1
Ir1 Ir 0.000 0.000 0.000 1
Ir2 Ir 0.250 0.750 0.500 1
```

---

(7)
Here is ReTeIr2 after structural relaxation from Alexandria via LeMat-Bulk. Energies are from PBE.

Values from the calculation:
- Formation energy without anion corrections: 0.66 eV/atom
- M_tot: 0.00 μB per cell
- Raw total energy: -61.3 eV per cell

CIF file:
```
data_ReTeIr2
_cell_length_a 5.974
_cell_length_b 5.974
_cell_length_c 6.835
_cell_angle_alpha 64.09
_cell_angle_beta 64.09
_cell_angle_gamma 90.00
_symmetry_space_group_name_H-M 'P 1'
_symmetry_Int_Tables_number 1
loop_
_symmetry_equiv_pos_as_xyz
'x,y,z'
loop_
_atom_site_label
_atom_site_type_symbol
_atom_site_fract_x
_atom_site_fract_y
_atom_site_fract_z
_atom_site_occupancy
Ir1 Ir 0.097 0.625 0.250 1
Ir2 Ir 0.653 0.125 0.250 1
Ir3 Ir 0.375 0.347 0.750 1
Ir4 Ir 0.875 0.903 0.750 1
Re1 Re 0.750 0.250 0.500 1
Re2 Re 0.000 0.000 0.000 1
Te1 Te 0.250 0.750 0.500 1
Te2 Te 0.500 0.500 0.000 1
```

---

(8)
Here is Re2TeIr after structural relaxation from Alexandria via LeMat-Bulk. Energies are from PBE.

Values from the calculation:
- Formation energy without anion corrections: 0.77 eV/atom
- M_tot: 0.00 μB per cell
- Raw total energy: -33.8 eV per cell

CIF file:
```
data_Re2TeIr
_cell_length_a 2.847
_cell_length_b 2.847
_cell_length_c 9.675
_cell_angle_alpha 90.00
_cell_angle_beta 90.00
_cell_angle_gamma 118.00
_symmetry_space_group_name_H-M 'P 1'
_symmetry_Int_Tables_number 1
loop_
_symmetry_equiv_pos_as_xyz
'x,y,z'
loop_
_atom_site_label
_atom_site_type_symbol
_atom_site_fract_x
_atom_site_fract_y
_atom_site_fract_z
_atom_site_occupancy
Re1 Re 0.500 0.500 0.224 1
Re2 Re 0.000 0.000 0.004 1
Te1 Te 0.000 0.000 0.503 1
Ir1 Ir 0.500 0.500 0.770 1
```

---

(9)
Here is Re2TeIr after structural relaxation from Alexandria via LeMat-Bulk. Energies are from PBE.

Values from the calculation:
- Formation energy without anion corrections: 0.74 eV/atom
- M_tot: 0.00 μB per cell
- Raw total energy: -33.9 eV per cell

CIF file:
```
data_Re2TeIr
_cell_length_a 5.465
_cell_length_b 5.465
_cell_length_c 5.465
_cell_angle_alpha 146.90
_cell_angle_beta 131.44
_cell_angle_gamma 60.04
_symmetry_space_group_name_H-M 'P 1'
_symmetry_Int_Tables_number 1
loop_
_symmetry_equiv_pos_as_xyz
'x,y,z'
loop_
_atom_site_label
_atom_site_type_symbol
_atom_site_fract_x
_atom_site_fract_y
_atom_site_fract_z
_atom_site_occupancy
Ir1 Ir 0.750 0.250 0.500 1
Re1 Re 0.472 0.472 0.000 1
Re2 Re 0.028 0.028 0.000 1
Te1 Te 0.250 0.750 0.500 1
```

---

(10)
Here is Re2TeIr after structural relaxation from Alexandria via LeMat-Bulk. Energies are from PBE.

Values from the calculation:
- Formation energy without anion corrections: 0.68 eV/atom
- M_tot: 0.00 μB per cell
- Raw total energy: -34.2 eV per cell

CIF file:
```
data_Re2TeIr
_cell_length_a 2.854
_cell_length_b 3.697
_cell_length_c 6.502
_cell_angle_alpha 90.00
_cell_angle_beta 90.00
_cell_angle_gamma 90.00
_symmetry_space_group_name_H-M 'P 1'
_symmetry_Int_Tables_number 1
loop_
_symmetry_equiv_pos_as_xyz
'x,y,z'
loop_
_atom_site_label
_atom_site_type_symbol
_atom_site_fract_x
_atom_site_fract_y
_atom_site_fract_z
_atom_site_occupancy
Re1 Re 0.000 0.000 0.958 1
Re2 Re 0.000 0.000 0.542 1
Te1 Te 0.500 0.500 0.250 1
Ir1 Ir 0.500 0.500 0.750 1
```

---

(11)
Here is Th8ReTe4Ir3 after structural relaxation from Alexandria via LeMat-Bulk. Energies are from PBE.

Values from the calculation:
- Formation energy without anion corrections: -1.00 eV/atom
- M_tot: 0.00 μB per cell
- Raw total energy: -127.0 eV per cell

CIF file:
```
data_Th8ReTe4Ir3
_cell_length_a 8.417
_cell_length_b 9.099
_cell_length_c 8.417
_cell_angle_alpha 117.55
_cell_angle_beta 120.00
_cell_angle_gamma 90.00
_symmetry_space_group_name_H-M 'P 1'
_symmetry_Int_Tables_number 1
loop_
_symmetry_equiv_pos_as_xyz
'x,y,z'
loop_
_atom_site_label
_atom_site_type_symbol
_atom_site_fract_x
_atom_site_fract_y
_atom_site_fract_z
_atom_site_occupancy
Ir1 Ir 0.000 0.500 0.500 1
Ir2 Ir 0.500 0.500 0.500 1
Ir3 Ir 0.500 0.500 0.000 1
Te1 Te 0.500 0.000 0.500 1
Te2 Te 0.000 0.000 0.500 1
Te3 Te 0.500 0.000 0.000 1
Te4 Te 0.000 0.000 0.000 1
Th1 Th 0.768 0.299 0.537 1
Th2 Th 0.734 0.700 0.467 1
Th3 Th 0.232 0.701 0.463 1
Th4 Th 0.262 0.299 0.030 1
Th5 Th 0.738 0.701 0.970 1
Th6 Th 0.266 0.300 0.533 1
Th7 Th 0.768 0.299 0.030 1
Th8 Th 0.232 0.701 0.970 1
Re1 Re 0.000 0.500 0.000 1
```

---

(12)
Here is Th2ReIr after structural relaxation from Alexandria via LeMat-Bulk. Energies are from PBE.

Values from the calculation:
- M_tot: 0.00 μB per cell
- Raw total energy: -34.1 eV per cell

CIF file:
```
data_Th2ReIr
_cell_length_a 3.712
_cell_length_b 3.712
_cell_length_c 9.258
_cell_angle_alpha 78.44
_cell_angle_beta 78.44
_cell_angle_gamma 60.00
_symmetry_space_group_name_H-M 'P 1'
_symmetry_Int_Tables_number 1
loop_
_symmetry_equiv_pos_as_xyz
'x,y,z'
loop_
_atom_site_label
_atom_site_type_symbol
_atom_site_fract_x
_atom_site_fract_y
_atom_site_fract_z
_atom_site_occupancy
Ir1 Ir 0.500 0.500 0.500 1
Re1 Re 0.000 0.000 0.000 1
Th1 Th 0.097 0.097 0.710 1
Th2 Th 0.903 0.903 0.290 1
```